a) Material: SrPrScO4
Method: DFT, GGA-PBEsol
State: optimized geometry

Calculated values
Crystal system   orthorhombic
Space-group type   Cmc2_1, No. 36
Calculated density   5.57 g/cm³

The structure in POSCAR format:
```
SrPrScO4
1.0
5.6192 0.0000 0.0000
0.0000 5.8302 0.0000
-2.8096 0.0000 6.1366
O Sc Sr Pr
8 2 2 2
direct
0.9823 0.2419 0.4545 O
0.0714 0.5864 0.1428 O
0.4721 0.2419 0.4545 O
0.5834 0.9357 0.1668 O
0.0177 0.7419 0.5455 O
0.4166 0.4357 0.8332 O
0.9286 0.0864 0.8572 O
0.5279 0.7419 0.5455 O
0.2526 0.4962 0.5053 Sc
0.7474 0.9962 0.4947 Sc
0.3954 0.0137 0.7907 Sr
0.6046 0.5137 0.2093 Sr
0.8911 0.4843 0.7822 Pr
0.1089 0.9843 0.2178 Pr
```

b) Material: SrPrScO4
Method: DFT, GGA-PBEsol
State: optimized geometry

Calculated values
Crystal system   tetragonal
Space-group type   I4mm, No. 107
Calculated density   5.64 g/cm³

The structure in POSCAR format:
```
SrPrScO4
1.0
3.9863 0.0000 0.0000
0.0000 3.9863 0.0000
-1.9932 -1.9932 6.2513
O Sc Sr Pr
4 1 1 1
direct
0.1687 0.1687 0.3375 O
0.8244 0.8244 0.6488 O
0.0104 0.5104 0.0208 O
0.5104 0.0104 0.0208 O
0.9941 0.9941 0.9883 Sc
0.3535 0.3535 0.7070 Sr
0.6385 0.6385 0.2769 Pr
```

The most stable structure shown above is a); the least stable is b).